An optimized crystal structure of TmVF5. Source: Alexandria, functional PBE+U.

Lattice parameters (Å, degrees): 5.6799 5.6799 7.5907 70.81 70.81 72.97
Last column: nearest neighbours and their distance in Å.
Fractional positions:
1 Tm 0.5474 0.4526 0.2500  5 F 2.10-2.21
2 Tm 0.4526 0.5474 0.7500  5 F 2.10-2.21
3 V 0.0000 0.0000 0.0000  6 F 2.08-2.17
4 V 0.0000 0.0000 0.5000  6 F 2.08-2.17
5 F 0.7781 0.7245 0.1294  1 V 2.08, 1 Tm 2.10
6 F 0.3099 0.6747 0.4617  1 V 2.17, 2 Tm 2.21-2.40
7 F 0.7245 0.7781 0.6294  1 V 2.08, 1 Tm 2.10
8 F 0.8733 0.1267 0.2500  2 V 2.08, 1 Tm 2.20
9 F 0.3253 0.6901 0.0383  1 V 2.17, 2 Tm 2.21-2.40
10 F 0.6747 0.3099 0.9617  1 V 2.17, 2 Tm 2.21-2.40
11 F 0.1267 0.8733 0.7500  2 V 2.08, 1 Tm 2.20
12 F 0.2755 0.2219 0.3706  1 V 2.08, 1 Tm 2.10
13 F 0.6901 0.3253 0.5383  1 V 2.17, 2 Tm 2.21-2.40
14 F 0.2219 0.2755 0.8706  1 V 2.08, 1 Tm 2.10

## Properties
- Total moment: 6.0 Bohr magnetons per cell
- Total energy: -6.55 eV per atom

=====

An optimized crystal structure of Tm2WF11. Source: Alexandria, functional PBE+U.

Lattice parameters (Å, degrees): 7.8164 8.2457 8.2457 75.27 61.71 61.71
Last column: nearest neighbours and their distance in Å.
Fractional positions:
1 Tm 0.6368 0.6811 0.3189  7 F 2.08-2.28
2 Tm 0.3632 0.3189 0.6811  7 F 2.08-2.28
3 Tm 0.8632 0.1811 0.8189  7 F 2.08-2.28
4 Tm 0.1368 0.8189 0.1811  7 F 2.08-2.28
5 W 0.7500 0.7500 0.7500  8 F 2.04-2.05
6 W 0.2500 0.2500 0.2500  8 F 2.04-2.05
7 F 0.6492 0.7106 0.5803  1 W 2.05, 1 Tm 2.28
8 F 0.3508 0.2894 0.4197  1 W 2.05, 1 Tm 2.28
9 F 0.0599 0.5803 0.7106  1 W 2.05, 1 Tm 2.28
10 F 0.8508 0.9197 0.7894  1 W 2.05, 1 Tm 2.28
11 F 0.9401 0.4197 0.2894  1 W 2.05, 1 Tm 2.28
12 F 0.1492 0.0803 0.2106  1 W 2.05, 1 Tm 2.28
13 F 0.4401 0.7894 0.9197  1 W 2.05, 1 Tm 2.28
14 F 0.5599 0.2106 0.0803  1 W 2.05, 1 Tm 2.28
15 F 0.5000 0.5000 0.5000  2 Tm 2.11
16 F 0.0000 0.0000 0.0000  2 Tm 2.11
17 F 0.8712 0.7788 0.2212  2 Tm 2.08-2.12
18 F 0.1288 0.2212 0.7788  2 Tm 2.08-2.12
19 F 0.6288 0.2788 0.7212  2 Tm 2.08-2.12
20 F 0.3712 0.7212 0.2788  2 Tm 2.08-2.12
21 F 0.4387 0.9906 0.3114  1 W 2.04, 1 Tm 2.28
22 F 0.5613 0.0094 0.6886  1 W 2.04, 1 Tm 2.28
23 F 0.2593 0.3114 0.9906  1 W 2.04, 1 Tm 2.28
24 F 0.0613 0.1886 0.5094  1 W 2.04, 1 Tm 2.28
25 F 0.7407 0.6886 0.0094  1 W 2.04, 1 Tm 2.28
26 F 0.9387 0.8114 0.4906  1 W 2.04, 1 Tm 2.28
27 F 0.2407 0.5094 0.1886  1 W 2.04, 1 Tm 2.28
28 F 0.7593 0.4906 0.8114  1 W 2.04, 1 Tm 2.28

## Properties
- Total moment: 1.9 Bohr magnetons per cell
- Total energy: -6.10 eV per atom

=====

An optimized crystal structure of TmWF6. Source: Alexandria, functional PBE+U.

Lattice parameters (Å, degrees): 5.8863 5.8807 6.0143 60.71 60.74 60.00
Last column: nearest neighbours and their distance in Å.
Fractional positions:
1 Tm 0.5000 0.5000 0.5000  6 F 2.14
2 W 0.0000 0.0000 0.0000  6 F 2.11-2.12
3 F 0.1942 0.3024 0.7518  1 W 2.11, 1 Tm 2.14
4 F 0.7530 0.1940 0.7506  1 W 2.11, 1 Tm 2.14
5 F 0.6965 0.2479 0.2491  1 W 2.12, 1 Tm 2.14
6 F 0.2470 0.8060 0.2494  1 W 2.11, 1 Tm 2.14
7 F 0.8058 0.6976 0.2482  1 W 2.11, 1 Tm 2.14
8 F 0.3035 0.7521 0.7509  1 W 2.12, 1 Tm 2.14

## Properties
- Total moment: 3.0 Bohr magnetons per cell
- Total energy: -6.26 eV per atom